Below is CuMoRh3 after structural relaxation, with properties calculated at the PBE-GGA level.

Computed properties:
E, eV per atom: -6.160
Crystal system: cubic
Energy of formation, eV/f.u.: 6.18

Cell and atoms, written as POSCAR:
```
CuMoRh3
1.0
4.657 0.000 0.000
0.000 4.657 0.000
0.000 0.000 4.657
Mo Rh Cu
1 3 1
direct
0.000 0.000 0.000
0.000 0.500 0.000
0.000 0.000 0.500
0.500 0.000 0.000
0.500 0.500 0.500
```



Below is Ni3AuC after structural relaxation, with properties calculated at the PBE-GGA level.

Computed properties:
E, eV per atom: -5.863
Crystal system: cubic
Energy of formation, eV/f.u.: 0.53

Cell and atoms, written as POSCAR:
```
Ni3AuC
1.0
3.841 0.000 0.000
0.000 3.841 0.000
0.000 0.000 3.841
Ni C Au
3 1 1
direct
0.000 0.500 0.000
0.000 0.000 0.500
0.500 0.000 0.000
0.000 0.000 0.000
0.500 0.500 0.500
```



no.,relative energy among the computed polymorphs (meV per atom)
1,0.0
2,0.0